LaIn2Ir | PBE | optimized geometry

Computed properties:
size of the total moment: 0.0 Bohr magnetons per cell
formation enthalpy at 0 K: -343 meV per atom

```
LaIn2Ir
1.0
-0.728 3.766 -2.490
-4.157 1.900 -0.130
-0.319 5.006 3.494
Ir La In
1 1 2
Direct
0.250 0.250 0.250
0.750 0.750 0.750
0.967 0.967 0.099
0.533 0.533 0.401
```